The following is a PBE calculation of a relaxed NdPd3 crystal, from Alexandria via LeMat-Bulk.

Properties
- space-group type = Fm-3m
- energy of formation (meV per atom) = -600
- DFT total energy (eV per atom) = -5.686

Cell: 6.7387 6.7387 6.7387 Å, 90.00 90.00 90.00°
Closest atoms and distances in Å follow each position.
Positions (direct):
Nd  0.0000  0.0000  0.0000  8 Pd 2.92
Nd  0.0000  0.5000  0.5000  8 Pd 2.92
Nd  0.5000  0.0000  0.5000  8 Pd 2.92
Nd  0.5000  0.5000  0.0000  8 Pd 2.92
Pd  0.0000  0.0000  0.5000  8 Pd 2.92
Pd  0.0000  0.5000  0.0000  8 Pd 2.92
Pd  0.2500  0.2500  0.2500  4 Nd 2.92, 4 Pd 2.92
Pd  0.2500  0.2500  0.7500  4 Nd 2.92, 4 Pd 2.92
Pd  0.2500  0.7500  0.2500  4 Nd 2.92, 4 Pd 2.92
Pd  0.2500  0.7500  0.7500  4 Nd 2.92, 4 Pd 2.92
Pd  0.5000  0.0000  0.0000  8 Pd 2.92
Pd  0.5000  0.5000  0.5000  8 Pd 2.92
Pd  0.7500  0.2500  0.2500  4 Nd 2.92, 4 Pd 2.92
Pd  0.7500  0.2500  0.7500  4 Nd 2.92, 4 Pd 2.92
Pd  0.7500  0.7500  0.2500  4 Nd 2.92, 4 Pd 2.92
Pd  0.7500  0.7500  0.7500  4 Pd 2.92, 4 Nd 2.92

The following is a PBE calculation of a relaxed MnPd5Pt8 crystal, from Alexandria via LeMat-Bulk.

Properties
- space-group type = I-4
- energy of formation (meV per atom) = 116
- DFT total energy (eV per atom) = -5.845

Cell: 6.6627 6.6627 6.6627 Å, 108.95 108.95 110.51°
Closest atoms and distances in Å follow each position.
Positions (direct):
Mn  0.0000  0.0000  0.0000  8 Pt 2.45-2.71
Pd  0.2165  0.5220  0.9170  8 Pt 2.63-2.88, 2 Pd 2.80
Pd  0.2500  0.7500  0.5000  8 Pt 2.60-2.88
Pd  0.4780  0.3950  0.6945  8 Pt 2.63-2.88, 2 Pd 2.80
Pd  0.6050  0.2995  0.0830  8 Pt 2.63-2.88, 2 Pd 2.80
Pd  0.7005  0.7835  0.3055  8 Pt 2.63-2.88, 2 Pd 2.80
Pt  0.1303  0.0571  0.7086  1 Mn 2.45, 5 Pd 2.60-2.74
Pt  0.3485  0.4217  0.2914  1 Mn 2.45, 5 Pd 2.60-2.74
Pt  0.4191  0.0254  0.2759  1 Mn 2.71, 4 Pt 2.72-2.90, 5 Pd 2.74-2.88
Pt  0.5783  0.8697  0.9269  1 Mn 2.45, 5 Pd 2.60-2.74
Pt  0.7495  0.1432  0.7241  1 Mn 2.71, 4 Pt 2.72-2.90, 5 Pd 2.74-2.88
Pt  0.8568  0.5809  0.6063  1 Mn 2.71, 4 Pt 2.72-2.90, 5 Pd 2.74-2.88
Pt  0.9429  0.6515  0.0731  1 Mn 2.45, 5 Pd 2.60-2.74
Pt  0.9746  0.2505  0.3937  1 Mn 2.71, 4 Pt 2.72-2.90, 5 Pd 2.74-2.88

The following is a PBE calculation of a relaxed Sm2Dy3Al3 crystal, from Alexandria via LeMat-Bulk.

Properties
- space-group type = Pmmm
- energy above the lowest structure with this stoichiometry (eV/f.u.) = 0.147
- energy of formation (meV per atom) = -263
- DFT total energy (eV per atom) = -4.572

Cell: 4.8177 4.8241 8.9004 Å, 90.00 90.00 90.00°
Closest atoms and distances in Å follow each position.
Positions (direct):
Sm  0.0000  0.0000  0.2320  6 Al 3.17-3.39, 6 Dy 3.39-3.41
Sm  0.0000  0.0000  0.7680  6 Al 3.17-3.39, 6 Dy 3.39-3.41
Dy  0.5000  0.0000  0.5000  4 Sm 3.39, 4 Al 3.41, 4 Dy 3.45
Dy  0.5000  0.5000  0.2233  6 Al 3.12-3.44, 4 Sm 3.41, 2 Dy 3.45
Dy  0.5000  0.5000  0.7767  6 Al 3.12-3.44, 4 Sm 3.41, 2 Dy 3.45
Al  0.0000  0.5000  0.0000  4 Dy 3.12, 4 Sm 3.18, 4 Al 3.41
Al  0.0000  0.5000  0.5000  4 Sm 3.39, 8 Dy 3.41-3.44
Al  0.5000  0.0000  0.0000  4 Dy 3.13, 4 Sm 3.17, 4 Al 3.41

The following is a PBE calculation of a relaxed Cs3LiHf crystal, from Alexandria via LeMat-Bulk.

Properties
- space-group type = Pm-3m
- energy of formation (meV per atom) = 1217
- DFT total energy (eV per atom) = -1.668

Cell: 7.0659 7.0659 7.0659 Å, 90.00 90.00 90.00°
Closest atoms and distances in Å follow each position.
Positions (direct):
Cs  0.0000  0.0000  0.5000  2 Li 3.53
Cs  0.0000  0.5000  0.0000  2 Li 3.53
Cs  0.5000  0.0000  0.0000  2 Li 3.53
Li  0.0000  0.0000  0.0000  6 Cs 3.53
Hf  0.5000  0.5000  0.5000  12 Cs 5.00

The following is a PBE calculation of a relaxed Sc2AlHg2 crystal, from Alexandria via LeMat-Bulk.

Properties
- space-group type = P4/mbm
- energy above the lowest structure with this stoichiometry (eV/f.u.) = 0.000
- energy of formation (meV per atom) = -302
- DFT total energy (eV per atom) = -3.703

Cell: 7.2328 7.2328 4.1374 Å, 90.00 90.00 90.00°
Closest atoms and distances in Å follow each position.
Positions (direct):
Sc  0.1655  0.3345  0.0000  6 Hg 2.87-3.03
Sc  0.3345  0.8345  0.0000  6 Hg 2.87-3.03
Sc  0.6655  0.1655  0.0000  6 Hg 2.87-3.03
Sc  0.8345  0.6655  0.0000  6 Hg 2.87-3.03
Al  0.0000  0.0000  0.5000  4 Hg 2.79
Al  0.5000  0.5000  0.5000  4 Hg 2.79
Hg  0.1402  0.6402  0.5000  2 Al 2.79, 1 Hg 2.87, 6 Sc 2.87-3.03
Hg  0.3598  0.1402  0.5000  2 Al 2.79, 1 Hg 2.87, 6 Sc 2.87-3.03
Hg  0.6402  0.8598  0.5000  2 Al 2.79, 1 Hg 2.87, 6 Sc 2.87-3.03
Hg  0.8598  0.3598  0.5000  2 Al 2.79, 1 Hg 2.87, 6 Sc 2.87-3.03

The following is a PBE calculation of a relaxed KNa10Ca crystal, from Alexandria via LeMat-Bulk.

Properties
- space-group type = Pmmm
- energy of formation (meV per atom) = 66
- DFT total energy (eV per atom) = -1.291

Cell: 5.8979 7.0395 12.0335 Å, 90.00 90.00 90.00°
Closest atoms and distances in Å follow each position.
Positions (direct):
K  0.0000  0.0000  0.0000  10 Na 4.12-4.59
Na  0.0000  0.0000  0.3431  7 Na 3.50-3.78
Na  0.0000  0.0000  0.6569  7 Na 3.50-3.78
Na  0.0000  0.5000  0.1778  6 Na 3.56-3.64, 1 Ca 3.88
Na  0.0000  0.5000  0.8222  6 Na 3.56-3.64, 1 Ca 3.88
Na  0.5000  0.0000  0.5000  8 Na 3.34-3.50
Na  0.5000  0.2605  0.2676  8 Na 3.34-3.67
Na  0.5000  0.2605  0.7324  8 Na 3.34-3.67
Na  0.5000  0.5000  0.0000  8 Na 3.64
Na  0.5000  0.7395  0.2676  8 Na 3.34-3.67
Na  0.5000  0.7395  0.7324  8 Na 3.34-3.67
Ca  0.0000  0.5000  0.5000  6 Na 3.88-3.99

The following is a PBE calculation of a relaxed Nb5TcMo4 crystal, from Alexandria via LeMat-Bulk.

Properties
- space-group type = P4/mmm
- energy of formation (meV per atom) = -184
- DFT total energy (eV per atom) = -10.588

Cell: 3.2255 3.2255 16.1172 Å, 90.00 90.00 90.00°
Closest atoms and distances in Å follow each position.
Positions (direct):
Nb  0.0000  0.0000  0.0000  8 Mo 2.79
Nb  0.0000  0.0000  0.2011  8 Mo 2.79-2.80
Nb  0.0000  0.0000  0.4014  4 Tc 2.78, 4 Mo 2.80
Nb  0.0000  0.0000  0.5986  4 Tc 2.78, 4 Mo 2.80
Nb  0.0000  0.0000  0.7989  8 Mo 2.79-2.80
Tc  0.5000  0.5000  0.5000  8 Nb 2.78
Mo  0.5000  0.5000  0.1002  8 Nb 2.79-2.80
Mo  0.5000  0.5000  0.3009  8 Nb 2.79-2.80
Mo  0.5000  0.5000  0.6991  8 Nb 2.79-2.80
Mo  0.5000  0.5000  0.8998  8 Nb 2.79-2.80

The following is a PBE calculation of a relaxed CaNpIn2Te4 crystal, from Alexandria via LeMat-Bulk.

Properties
- space-group type = P2/m
- formation energy without anion corrections (meV/atom) = -687
- DFT total energy (eV per atom) = -4.811

Cell: 7.7215 4.4929 8.3707 Å, 90.00 107.93 90.00°
Closest atoms and distances in Å follow each position.
Positions (direct):
Ca  0.0000  0.0000  0.0000  6 Te 3.20
Np  0.5000  0.5000  0.0000  6 Te 3.06-3.11
In  0.0000  0.5000  0.5000  6 Te 3.43-3.45
In  0.5000  0.0000  0.5000  6 Te 3.32-3.34
Te  0.2551  0.5000  0.2269  1 Np 3.06, 2 Ca 3.20, 2 In 3.34
Te  0.2705  0.0000  0.7766  2 Np 3.11, 1 Ca 3.20, 3 In 3.32-3.43
Te  0.7296  0.0000  0.2234  2 Np 3.11, 1 Ca 3.20, 3 In 3.32-3.43
Te  0.7449  0.5000  0.7731  1 Np 3.06, 2 Ca 3.20, 2 In 3.34

The following is a PBE calculation of a relaxed Ac2BAs crystal, from Alexandria via LeMat-Bulk.

Properties
- space-group type = P4/mmm
- energy above the lowest structure with this stoichiometry (eV/f.u.) = 0.814
- energy of formation (meV per atom) = -136
- DFT total energy (eV per atom) = -5.022

Cell: 5.2730 5.2730 3.7764 Å, 90.00 90.00 90.00°
Closest atoms and distances in Å follow each position.
Positions (direct):
Ac  0.0000  0.5000  0.0000  4 As 3.24, 4 B 3.24
Ac  0.5000  0.0000  0.0000  4 As 3.24, 4 B 3.24
B  0.0000  0.0000  0.5000  8 Ac 3.24
As  0.5000  0.5000  0.5000  8 Ac 3.24

The following is a PBE calculation of a relaxed AcSbRhO crystal, from Alexandria via LeMat-Bulk.

Properties
- space-group type = P4/nmm
- formation energy without anion corrections (meV/atom) = -1854
- DFT total energy (eV per atom) = -6.989

Cell: 4.3698 4.3698 9.1100 Å, 90.00 90.00 90.00°
Closest atoms and distances in Å follow each position.
Positions (direct):
Ac  0.2500  0.2500  0.1334  4 O 2.50
Ac  0.7500  0.7500  0.8666  4 O 2.50
Sb  0.2500  0.2500  0.6578  4 Rh 2.62
Sb  0.7500  0.7500  0.3422  4 Rh 2.62
Rh  0.2500  0.7500  0.5000  4 Sb 2.62
Rh  0.7500  0.2500  0.5000  4 Sb 2.62
O  0.2500  0.7500  0.0000  4 Ac 2.50
O  0.7500  0.2500  0.0000  4 Ac 2.50

The following is a PBE calculation of a relaxed SrLa2Al2 crystal, from Alexandria via LeMat-Bulk.

Properties
- space-group type = P4/mbm
- energy above the lowest structure with this stoichiometry (eV/f.u.) = 0.000
- energy of formation (meV per atom) = -201
- DFT total energy (eV per atom) = -4.005

Cell: 8.9652 8.9652 3.9375 Å, 90.00 90.00 90.00°
Closest atoms and distances in Å follow each position.
Positions (direct):
Sr  0.0000  0.0000  0.0000  4 Al 3.62, 8 La 3.85, 2 Sr 3.94
Sr  0.5000  0.5000  0.0000  4 Al 3.62, 8 La 3.85, 2 Sr 3.94
La  0.1753  0.3247  0.5000  6 Al 3.29-3.33
La  0.3247  0.8247  0.5000  6 Al 3.29-3.33
La  0.6753  0.1753  0.5000  6 Al 3.29-3.33
La  0.8247  0.6753  0.5000  6 Al 3.29-3.33
Al  0.1125  0.6125  0.0000  1 Al 2.85
Al  0.3875  0.1125  0.0000  1 Al 2.85
Al  0.6125  0.8875  0.0000  1 Al 2.85
Al  0.8875  0.3875  0.0000  1 Al 2.85